[1]
Material: Tb2Pr2Nd3
Method: DFT, PBE
State: relaxed

Properties
Energy above the most stable polymorph in this dataset, eV per atom: 0.098
Magnetic moment, Bohr magnetons per cell: 0.000
Crystal system: monoclinic
Formation energy, eV/atom: 0.112

a b c (Å): 3.570 8.739 9.133
angles (deg): 118.38 101.27 90.00
Atoms (fractional coordinates):
1 Nd 0.787 0.203 0.574
2 Nd 0.000 0.500 0.000
3 Nd 0.213 0.797 0.426
4 Tb 0.852 0.666 0.703
5 Tb 0.148 0.334 0.297
6 Pr 0.435 0.089 0.870
7 Pr 0.565 0.911 0.130


[2]
Material: Rb2Hg2PdI4
Method: DFT, PBE
State: relaxed

Properties
Total DFT energy (no corrections), eV/atom: -2.2827
Magnetic moment, Bohr magnetons per cell: 0.000
Crystal system: tetragonal

a b c (Å): 7.731 7.731 7.731
angles (deg): 101.21 113.75 113.75
Atoms (fractional coordinates):
1 Pd 0.000 0.000 0.000
2 I 0.000 0.225 0.775
3 I 0.550 0.775 0.775
4 I 0.000 0.775 0.225
5 I 0.450 0.225 0.225
6 Hg 0.000 0.315 0.315
7 Hg 0.000 0.685 0.685
8 Rb 0.500 0.750 0.250
9 Rb 0.500 0.250 0.750


[3]
Material: KPm2Ru
Method: DFT, PBE
State: relaxed

Properties
Energy above the most stable polymorph in this dataset, eV per atom: 0.000
Magnetic moment, Bohr magnetons per cell: 0.000
Crystal system: tetragonal
Formation energy, eV/atom: -0.024

a b c (Å): 3.520 3.520 10.902
angles (deg): 90.00 90.00 90.00
Atoms (fractional coordinates):
1 Pm 0.000 0.000 0.154
2 Pm 0.000 0.000 0.846
3 K 0.500 0.500 0.500
4 Ru 0.500 0.500 0.000